The following is a DFT calculation (GGA+U) of an optimized crystal structure of CsSrCoF6.

Lattice parameters (Å, degrees): 7.5552 7.5552 7.5552 120.54 114.64 94.29
Sites, in units of the cell vectors:
Cs: 0.3499 0.0999 0.2500
Cs: 0.6501 0.9001 0.7500
Sr: 0.0000 0.5000 0.5000
Sr: 0.5000 0.5000 0.0000
Co: 0.0000 0.0000 0.5000
Co: 0.0000 0.5000 0.0000
F: 0.0358 0.3460 0.1332
F: 0.0358 0.9027 0.6898
F: 0.0538 0.3038 0.7500
F: 0.2871 0.0973 0.6332
F: 0.2871 0.6540 0.1898
F: 0.3666 0.6166 0.7500
F: 0.6334 0.3834 0.2500
F: 0.7129 0.3460 0.8102
F: 0.7129 0.9027 0.3668
F: 0.9462 0.6962 0.2500
F: 0.9642 0.0973 0.3102
F: 0.9642 0.6540 0.8668

Calculated values
The raw total energy is -4.879 eV per atom. Its crystal system is orthorhombic. As for the symmetry: Imma.